A plane-wave DFT calculation with GGA-PBE was carried out for crystalline AgTeN at its relaxed geometry.

E_form (uncorrected)	0.7757	eV per atom
uncorrected energy	-4.00	eV per atom
E above lowest polymorph	0	meV per atom

Unit cell a=3.151 b=5.494 c=8.078 alpha=85.80 beta=89.99 gamma=89.89
Space group P1 (No. 1)
Inequivalent atoms, fractional coordinates:
1 Ag 0.000 0.000 0.000 [1 per cell]
2 Ag 0.499 0.262 0.757 [1 per cell]
3 Te 0.001 0.805 0.662 [1 per cell]
4 Te 0.502 0.533 0.300 [1 per cell]
5 N 0.001 0.752 0.231 [1 per cell]
6 N 0.501 0.575 0.550 [1 per cell]